1.
# Pm8P6Se (GGA-PBE, relaxed)
# E_form (uncorrected) ... -19.00 eV per formula unit
data_Pm8P6Se
_cell_length_a 10.5233
_cell_length_b 10.5233
_cell_length_c 4.2733
_cell_angle_alpha 90.00
_cell_angle_beta 90.00
_cell_angle_gamma 120.00
_space_group_name_H-M_alt 'P -3'
_space_group_IT_number 147
_space_group_name_Hall '-P 3'
loop_
_atom_site_label
_atom_site_type_symbol
_atom_site_fract_x
_atom_site_fract_y
_atom_site_fract_z
Pm1 Pm 0.0332 0.6887 0.2414
Pm2 Pm 0.3333 0.6667 0.7525
P1 P 0.1354 0.4772 0.2566
Se1 Se 0.0000 0.0000 0.0000

2.
# Pm4PSe3 (GGA-PBE, relaxed)
# E_form (uncorrected) ... -14.46 eV per formula unit
# Relative energy among the computed polymorphs ... 21 meV per atom
data_Pm4PSe3
_cell_length_a 5.904
_cell_length_b 5.904
_cell_length_c 5.904
_cell_angle_alpha 90.00
_cell_angle_beta 90.00
_cell_angle_gamma 90.00
_space_group_name_H-M_alt 'P m -3 m'
_space_group_IT_number 221
_space_group_name_Hall '-P 4 2 3'
loop_
_atom_site_label
_atom_site_type_symbol
_atom_site_fract_x
_atom_site_fract_y
_atom_site_fract_z
Pm1 Pm 0.000 0.000 0.000
Pm2 Pm 0.000 0.500 0.500
P1 P 0.500 0.500 0.500
Se1 Se 0.000 0.000 0.500

no.,DOS(E_F) (states/eV/cell)
1,9.331
2,1.751